1.
A relaxed structure of Pm3PrMg. Source: the Alexandria database, functional PBE.

For the total magnetization, the calculation gives 0.00 μB/cell. The density of states at the Fermi level is 23.972 states/eV/cell. For the calculated total energy, the calculation gives -4.143 eV per atom. The value obtained for the mass density is 6091 kg/m³.

The structure belongs to space group C2/m (No. 12); the cell edges are 19.9391, 3.7878 and 8.9244 Å and the angles 90.00°, 103.83° and 90.00°. The asymmetric unit holds Pm at (0.0030, 0.0000, 0.2743), Pm at (0.1870, 0.0000, 0.3783), Pm at (0.2038, 0.0000, 0.8254), Pr at (0.1000, 0.5000, 0.0418) and Mg at (0.0956, 0.5000, 0.5642).

---

2.
A relaxed structure of Pm2Pr2Mg. Source: the Alexandria database, functional PBE.

For the total magnetization, the calculation gives 0.00 μB/cell. The density of states at the Fermi level is 12.197 states/eV/cell. For the calculated total energy, the calculation gives -4.160 eV per atom. The value obtained for the mass density is 5962 kg/m³.

The structure belongs to space group I4/mmm (No. 139); the cell edges are 3.7136, 3.7136 and 24.0771 Å and the angles 90.00°, 90.00° and 90.00°. The asymmetric unit holds Pm at (0.0000, 0.0000, 0.1967), Pr at (0.0000, 0.0000, 0.4088) and Mg at (0.0000, 0.0000, 0.0000).

---

3.
A relaxed structure of PmPrMg17. Source: the Alexandria database, functional PBE.

For the total magnetization, the calculation gives 0.00 μB/cell. The density of states at the Fermi level is 24.929 states/eV/cell. For the calculated total energy, the calculation gives -1.985 eV per atom. The value obtained for the mass density is 2493 kg/m³.

The structure belongs to space group R3m (No. 160, hexagonal axes); the cell edges are 10.2862, 10.2862 and 15.2483 Å and the angles 90.00°, 90.00° and 120.00°. The asymmetric unit holds Pm at (0.0000, 0.0000, 0.0000), Pr at (0.0000, 0.0000, 0.3399), Mg at (0.0000, 0.0000, 0.5718), Mg at (0.0000, 0.0000, 0.7700), Mg at (0.0005, 0.3010, 0.6702), Mg at (0.0011, 0.5005, 0.1699), Mg at (0.0092, 0.5046, 0.8214) and Mg at (0.1703, 0.3407, 0.8524).